{
  "formula": "SrCdIn",
  "functional": "SCAN",
  "state": "single point on PBEsol structure",
  "formation_enthalpy_0k_ev_per_fu": -1.61,
  "dos_at_fermi_per_ev_atom": 0.3562,
  "crystal_system": "hexagonal",
  "total_energy_ev_per_cell": -87.7,
  "cell": [[5.019, 0.000, 0.000], [-2.509, 4.346, 0.000], [0.000, 0.000, 3.833]],
  "species": ["Sr", "Cd", "In"],
  "fractional_positions": [[0.000, 0.000, 0.000], [0.333, 0.667, 0.500], [0.667, 0.333, 0.500]]
}


{
  "formula": "LiInOs",
  "functional": "SCAN",
  "state": "single point on PBEsol structure",
  "formation_enthalpy_0k_ev_per_fu": 0.50,
  "dos_at_fermi_per_ev_atom": 0.3123,
  "crystal_system": "trigonal",
  "total_energy_ev_per_cell": -107.2,
  "cell": [[4.414, 0.000, 0.000], [-2.207, 3.823, 0.000], [0.000, 0.000, 2.704]],
  "species": ["Li", "In", "Os"],
  "fractional_positions": [[0.000, 0.000, 0.000], [0.667, 0.333, 0.154], [0.333, 0.667, 0.609]]
}


{
  "formula": "Be2SiPb",
  "functional": "SCAN",
  "state": "single point on PBEsol structure",
  "dos_at_fermi_per_ev_atom": 0.4506,
  "crystal_system": "orthorhombic",
  "total_energy_ev_per_cell": -91.0,
  "cell": [[2.911, -3.553, 0.000], [2.911, 3.553, 0.000], [0.000, 0.000, 3.074]],
  "species": ["Be", "Be", "Si", "Pb"],
  "fractional_positions": [[0.000, 0.500, 0.000], [0.500, 0.000, 0.000], [0.000, 0.000, 0.500], [0.500, 0.500, 0.500]]
}